Record 1
## MgHgS2 (PBE)

Data for a geometry-optimized MgHgS2 structure.

abc: 18.5650 7.8569 7.8569
angles: 89.56 120.25 59.75
Last column: nearest neighbours and their distance in Å.
Fractional coordinates of all 32 atoms:
Hg  0.6360  0.4380  0.9591  2 S 2.41-2.44
Hg  0.3686  0.0217  0.1857  2 S 2.43
Hg  0.8640  0.4591  0.9380  2 S 2.41-2.44
Hg  0.3640  0.5620  0.0409  2 S 2.41-2.44
Hg  0.6314  0.9783  0.8143  2 S 2.43
Hg  0.1314  0.6857  0.5217  2 S 2.43
Hg  0.8686  0.3143  0.4783  2 S 2.43
Hg  0.1360  0.5409  0.0620  2 S 2.41-2.44
S  0.5306  0.2846  0.3514  1 Hg 2.41, 2 Mg 2.45-2.46
S  0.7481  0.8283  0.7124  2 Hg 2.43-2.44, 1 Mg 2.55
S  0.0178  0.3176  0.6983  1 Hg 2.43, 3 Mg 2.52-2.72
S  0.7500  0.7409  0.2409  2 Mg 2.44
S  0.9694  0.8514  0.7846  1 Hg 2.41, 2 Mg 2.45-2.46
S  0.4694  0.7154  0.6486  1 Hg 2.41, 2 Mg 2.45-2.46
S  0.4822  0.1983  0.8176  1 Hg 2.43, 3 Mg 2.52-2.72
S  0.2519  0.1717  0.2876  2 Hg 2.43-2.44, 1 Mg 2.55
S  0.0306  0.1486  0.2154  1 Hg 2.41, 2 Mg 2.45-2.46
S  0.2481  0.7876  0.6717  2 Hg 2.43-2.44, 1 Mg 2.55
S  0.9822  0.6824  0.3017  1 Hg 2.43, 3 Mg 2.52-2.72
S  0.2500  0.2591  0.7591  2 Mg 2.44
S  0.7500  0.3088  0.8088  2 Mg 2.44, 2 Hg 2.70
S  0.2500  0.6912  0.1912  2 Mg 2.44, 2 Hg 2.70
S  0.5178  0.8017  0.1824  1 Hg 2.43, 3 Mg 2.52-2.72
S  0.7519  0.2124  0.3283  2 Hg 2.43-2.44, 1 Mg 2.55
Mg  0.3701  0.5717  0.5734  4 S 2.44-2.55
Mg  0.1007  0.2629  0.5106  4 S 2.44-2.72
Mg  0.8993  0.7371  0.4894  4 S 2.44-2.72
Mg  0.6007  0.9894  0.2371  4 S 2.44-2.72
Mg  0.6299  0.4283  0.4266  4 S 2.44-2.55
Mg  0.3993  0.0106  0.7629  4 S 2.44-2.72
Mg  0.8701  0.9266  0.9283  4 S 2.44-2.55
Mg  0.1299  0.0734  0.0717  4 S 2.44-2.55

Summary:
Distance to the lowest polymorph of the same formula, meV per atom: 69
Total energy, eV per atom: -3.237

Record 2
## MgHgS2 (PBE)

Data for a geometry-optimized MgHgS2 structure.

abc: 6.7426 7.1174 4.1505
angles: 89.99 89.98 90.00
Last column: nearest neighbours and their distance in Å.
Fractional coordinates of all 8 atoms:
Hg  0.1904  0.6891  0.9399  4 S 2.59-2.60
Hg  0.6904  0.3418  0.9412  4 S 2.59-2.60
Mg  0.1862  0.1851  0.4425  4 S 2.47
Mg  0.6862  0.8456  0.4427  4 S 2.47
S  0.0750  0.3409  0.9422  2 Mg 2.47, 2 Hg 2.59-2.60
S  0.5518  0.1680  0.4418  2 Mg 2.47, 2 Hg 2.59
S  0.5750  0.6900  0.9425  2 Mg 2.47, 2 Hg 2.59-2.60
S  0.0517  0.8628  0.4407  2 Mg 2.47, 2 Hg 2.59

Summary:
Distance to the lowest polymorph of the same formula, meV per atom: 1
Total energy, eV per atom: -3.306

Copy entry 1 word for word.
## MgHgS2 (PBE)

Data for a geometry-optimized MgHgS2 structure.

abc: 18.5650 7.8569 7.8569
angles: 89.56 120.25 59.75
Last column: nearest neighbours and their distance in Å.
Fractional coordinates of all 32 atoms:
Hg  0.6360  0.4380  0.9591  2 S 2.41-2.44
Hg  0.3686  0.0217  0.1857  2 S 2.43
Hg  0.8640  0.4591  0.9380  2 S 2.41-2.44
Hg  0.3640  0.5620  0.0409  2 S 2.41-2.44
Hg  0.6314  0.9783  0.8143  2 S 2.43
Hg  0.1314  0.6857  0.5217  2 S 2.43
Hg  0.8686  0.3143  0.4783  2 S 2.43
Hg  0.1360  0.5409  0.0620  2 S 2.41-2.44
S  0.5306  0.2846  0.3514  1 Hg 2.41, 2 Mg 2.45-2.46
S  0.7481  0.8283  0.7124  2 Hg 2.43-2.44, 1 Mg 2.55
S  0.0178  0.3176  0.6983  1 Hg 2.43, 3 Mg 2.52-2.72
S  0.7500  0.7409  0.2409  2 Mg 2.44
S  0.9694  0.8514  0.7846  1 Hg 2.41, 2 Mg 2.45-2.46
S  0.4694  0.7154  0.6486  1 Hg 2.41, 2 Mg 2.45-2.46
S  0.4822  0.1983  0.8176  1 Hg 2.43, 3 Mg 2.52-2.72
S  0.2519  0.1717  0.2876  2 Hg 2.43-2.44, 1 Mg 2.55
S  0.0306  0.1486  0.2154  1 Hg 2.41, 2 Mg 2.45-2.46
S  0.2481  0.7876  0.6717  2 Hg 2.43-2.44, 1 Mg 2.55
S  0.9822  0.6824  0.3017  1 Hg 2.43, 3 Mg 2.52-2.72
S  0.2500  0.2591  0.7591  2 Mg 2.44
S  0.7500  0.3088  0.8088  2 Mg 2.44, 2 Hg 2.70
S  0.2500  0.6912  0.1912  2 Mg 2.44, 2 Hg 2.70
S  0.5178  0.8017  0.1824  1 Hg 2.43, 3 Mg 2.52-2.72
S  0.7519  0.2124  0.3283  2 Hg 2.43-2.44, 1 Mg 2.55
Mg  0.3701  0.5717  0.5734  4 S 2.44-2.55
Mg  0.1007  0.2629  0.5106  4 S 2.44-2.72
Mg  0.8993  0.7371  0.4894  4 S 2.44-2.72
Mg  0.6007  0.9894  0.2371  4 S 2.44-2.72
Mg  0.6299  0.4283  0.4266  4 S 2.44-2.55
Mg  0.3993  0.0106  0.7629  4 S 2.44-2.72
Mg  0.8701  0.9266  0.9283  4 S 2.44-2.55
Mg  0.1299  0.0734  0.0717  4 S 2.44-2.55

Summary:
Distance to the lowest polymorph of the same formula, meV per atom: 69
Total energy, eV per atom: -3.237

What did the second record say?
## MgHgS2 (PBE)

Data for a geometry-optimized MgHgS2 structure.

abc: 6.7426 7.1174 4.1505
angles: 89.99 89.98 90.00
Last column: nearest neighbours and their distance in Å.
Fractional coordinates of all 8 atoms:
Hg  0.1904  0.6891  0.9399  4 S 2.59-2.60
Hg  0.6904  0.3418  0.9412  4 S 2.59-2.60
Mg  0.1862  0.1851  0.4425  4 S 2.47
Mg  0.6862  0.8456  0.4427  4 S 2.47
S  0.0750  0.3409  0.9422  2 Mg 2.47, 2 Hg 2.59-2.60
S  0.5518  0.1680  0.4418  2 Mg 2.47, 2 Hg 2.59
S  0.5750  0.6900  0.9425  2 Mg 2.47, 2 Hg 2.59-2.60
S  0.0517  0.8628  0.4407  2 Mg 2.47, 2 Hg 2.59

Summary:
Distance to the lowest polymorph of the same formula, meV per atom: 1
Total energy, eV per atom: -3.306

Q: What is the formula in the second record?
A: MgHgS2